Compound: Na3Fe4F12
Source: the Alexandria database
Functional: GGA+U
Structure: optimized geometry

Cell lengths 6.899, 6.899, 6.899 Å; angles 109.47, 109.47, 109.47 degrees
Fractional positions:
Na  0.000  0.500  0.500
Na  0.500  0.000  0.500
Na  0.500  0.500  0.000
Fe  0.000  0.000  0.500
Fe  0.000  0.500  0.000
Fe  0.500  0.000  0.000
Fe  0.500  0.500  0.500
F  0.088  0.298  0.790
F  0.210  0.509  0.298
F  0.210  0.912  0.702
F  0.298  0.210  0.509
F  0.298  0.790  0.088
F  0.491  0.702  0.790
F  0.509  0.298  0.210
F  0.702  0.210  0.912
F  0.702  0.790  0.491
F  0.790  0.088  0.298
F  0.790  0.491  0.702
F  0.912  0.702  0.210

Calculated values
- Electronic total energy: -5.000 eV per atom